Entry 1:
SCAN TcHgS3, single point on PBEsol structure; E = -131.1 eV/cell; density = 6.7 Mg/m³; total magnetic moment = 0.000 μB per formula unit
1.0
4.603 0.000 0.000
0.000 4.603 0.000
0.000 0.000 4.603
Tc Hg S
1 1 3
direct
0.000 0.000 0.000
0.500 0.500 0.500
0.000 0.000 0.500
0.000 0.500 0.000
0.500 0.000 0.000

Entry 2:
SCAN Ca3Mg, single point on PBEsol structure; density = 1.7 Mg/m³; total magnetic moment = 0.220 μB per formula unit; energy of formation from the pure elements = -0.0027 eV per atom
1.0
5.992 0.000 0.000
0.000 7.380 0.000
0.000 0.000 6.334
Ca Mg
6 2
direct
0.250 0.002 0.169
0.250 0.498 0.169
0.250 0.750 0.651
0.750 0.250 0.349
0.750 0.502 0.831
0.750 0.998 0.831
0.250 0.250 0.682
0.750 0.750 0.318

Entry 3:
SCAN LiPNF2, single point on PBEsol structure; E = -34.6 eV/cell; density = 2.6 Mg/m³; total magnetic moment = 0.000 μB per formula unit
1.0
4.182 0.000 0.000
0.000 4.182 0.000
0.000 0.000 3.307
Li P N F
1 1 1 2
direct
0.000 0.000 0.000
0.500 0.500 0.500
0.500 0.500 0.000
0.000 0.500 0.500
0.500 0.000 0.500

Entry 4:
SCAN Ti6Sn5, single point on PBEsol structure; density = 7.0 Mg/m³; total magnetic moment = 0.004 μB per formula unit; energy of formation from the pure elements = -0.4169 eV per atom; energy relative to the lowest polymorph listed for this composition = 35.2 meV per atom
1.0
-2.825 4.512 8.147
2.825 -4.512 8.147
2.825 4.512 -8.147
Ti Sn
12 10
direct
0.000 0.000 0.500
0.000 0.500 0.000
0.144 0.414 0.730
0.158 0.158 0.000
0.316 0.586 0.730
0.500 0.000 0.000
0.500 0.267 0.767
0.500 0.500 0.500
0.500 0.733 0.233
0.684 0.414 0.270
0.842 0.842 0.000
0.856 0.586 0.270
0.000 0.245 0.245
0.000 0.755 0.755
0.204 0.896 0.309
0.207 0.707 0.500
0.331 0.331 0.000
0.413 0.104 0.309
0.587 0.896 0.691
0.669 0.669 0.000
0.793 0.293 0.500
0.796 0.104 0.691